This record from Alexandria via LeMat-Bulk describes crystalline Mg3H4Ir2 at its relaxed geometry. The functional is PBE.

a b c (Å): 4.5374 4.5374 5.5623
angles (deg): 90.18 90.18 60.44
With the nearest neighbours (Å) after each atom.
Atoms (fractional coordinates):
Mg: 0.0000 0.0000 0.0000  4 H 2.24-2.30
Mg: 0.3442 0.3202 0.3384  6 H 2.21-2.31
Mg: 0.6798 0.6558 0.6616  6 H 2.21-2.31
H: 0.1760 0.6721 0.6705  1 Ir 1.63
H: 0.1856 0.1572 0.6650  1 Ir 1.67
H: 0.3279 0.8240 0.3295  1 Ir 1.63
H: 0.8428 0.8144 0.3350  1 Ir 1.67
Ir: 0.3394 0.3431 0.8468  2 H 1.63-1.67
Ir: 0.6569 0.6606 0.1532  2 H 1.63-1.67

Calculated values
- symmetry = C2
- magnetization (μB per formula unit) = 0.00
- DFT total energy (eV per atom) = -4.344
- Fermi-level density of states (states/eV/f.u.) = 1.990